Here is crystalline Li7Mn2Co3O12 at its relaxed geometry from Alexandria. Energies are from GGA+U.

```
data_Li7Mn2Co3O12
_chemical_formula_sum 'Li7 Mn2 Co3 O12'
_cell_length_a 5.823
_cell_length_b 5.871
_cell_length_c 7.601
_cell_angle_alpha 80.67
_cell_angle_beta 68.11
_cell_angle_gamma 60.28
_space_group_name_H-M_alt 'P 1'
_space_group_IT_number 1
loop_
_space_group_symop_operation_xyz
'x,y,z'
loop_
_atom_site_label
_atom_site_type_symbol
_atom_site_fract_x
_atom_site_fract_y
_atom_site_fract_z
_atom_site_occupancy
Li1 Li 0.000 0.000 0.000 1
Li2 Li 0.008 0.491 0.007 1
Li3 Li 0.176 0.832 0.329 1
Li4 Li 0.345 0.644 0.677 1
Li5 Li 0.499 0.496 0.009 1
Li6 Li 0.691 0.328 0.329 1
Li7 Li 0.845 0.154 0.667 1
Mn1 Mn 0.343 0.155 0.669 1
Mn2 Mn 0.504 0.997 0.005 1
Co1 Co 0.178 0.326 0.335 1
Co2 Co 0.684 0.819 0.332 1
Co3 Co 0.853 0.643 0.673 1
O1 O 0.077 0.643 0.194 1
O2 O 0.119 0.159 0.169 1
O3 O 0.269 0.459 0.510 1
O4 O 0.285 0.005 0.489 1
O5 O 0.424 0.845 0.834 1
O6 O 0.429 0.294 0.833 1
O7 O 0.569 0.166 0.162 1
O8 O 0.592 0.692 0.164 1
O9 O 0.740 0.976 0.504 1
O10 O 0.787 0.482 0.502 1
O11 O 0.897 0.827 0.834 1
O12 O 0.957 0.313 0.818 1
```

E = -141.22 eV/f.u.
crystal system = triclinic
offset from the most stable computed form = 0.30 kcal/mol of atoms